No. 1
Material: Sc6TlSn
Method: DFT, PBE
State: optimized geometry

```
Sc6TlSn
1.0
8.050 0.016 0.061
4.014 6.977 0.034
3.997 2.330 3.318
Sc Tl Sn
6 1 1
direct
0.000 0.500 0.751
0.750 0.000 0.751
0.500 0.250 0.249
0.250 0.000 0.249
0.000 0.500 0.249
0.500 0.750 0.751
0.000 0.000 0.000
0.500 0.500 0.500
```

Properties
The calculation puts the volume at 23.05 A^3/atom. The calculation puts the calculated formation energy at -2.30 eV/f.u. Its space-group type is Pm-3.


No. 2
Material: Na8Tl3Pb2
Method: DFT, PBE
State: optimized geometry

```
Na8Tl3Pb2
1.0
0.306 -1.538 6.341
-6.222 -6.606 -1.302
8.266 -1.059 -1.855
Na Tl Pb
8 3 2
direct
0.891 0.597 0.195
0.109 0.403 0.805
0.800 0.192 0.384
0.200 0.808 0.616
0.553 0.569 0.750
0.553 0.181 0.750
0.447 0.819 0.250
0.447 0.431 0.250
0.500 0.000 0.000
0.000 0.179 0.000
0.000 0.821 0.000
0.282 0.196 0.391
0.718 0.804 0.609
```

Properties
The calculation puts the volume at 32.75 A^3/atom. The calculation puts the calculated formation energy at -0.69 eV/f.u. Its space-group type is C2/m.


No. 3
Material: CdAs3
Method: DFT, PBE
State: optimized geometry

```
CdAs3
1.0
-3.486 1.187 3.740
-3.922 -0.955 -3.354
-0.044 -2.831 0.858
As Cd
3 1
direct
0.000 0.500 0.500
0.500 0.000 0.500
0.500 0.500 0.000
0.000 0.000 0.000
```

Properties
The calculation puts the volume at 20.38 A^3/atom. The calculation puts the calculated formation energy at 1.42 eV/f.u. Its space-group type is P4/mmm.


No. 4
Material: Tm2NbPt9
Method: DFT, PBE
State: optimized geometry

```
Tm2NbPt9
1.0
-2.473 -3.189 -0.488
1.929 -0.969 -3.444
7.745 -6.971 6.301
Tm Nb Pt
2 1 9
direct
0.000 0.000 0.334
0.000 0.000 0.666
0.000 0.000 0.000
0.500 0.500 0.000
0.500 0.500 0.329
0.500 0.500 0.671
0.500 0.000 0.157
0.500 0.000 0.500
0.500 0.000 0.843
0.000 0.500 0.157
0.000 0.500 0.500
0.000 0.500 0.843
```

Properties
The calculation puts the volume at 16.77 A^3/atom. The calculation puts the calculated formation energy at -11.58 eV/f.u. Its space-group type is P4/mmm.


No. 5
Material: Sm8MgSc2
Method: DFT, PBE
State: optimized geometry

```
Sm8MgSc2
1.0
-1.032 4.905 0.276
-1.840 -0.818 7.640
9.257 -0.602 -0.338
Sm Mg Sc
8 1 2
direct
0.406 0.548 0.811
0.683 0.914 0.366
0.861 0.809 0.721
0.952 0.276 0.905
0.139 0.191 0.279
0.317 0.086 0.634
0.594 0.452 0.189
0.048 0.724 0.095
0.500 0.000 0.000
0.774 0.367 0.548
0.226 0.633 0.452
```

Properties
The calculation puts the volume at 31.02 A^3/atom. The calculation puts the calculated formation energy at 0.31 eV/f.u. Its space-group type is C2/m.


No. 6
Material: CrNiTe2N
Method: DFT, PBE
State: optimized geometry

```
CrNiTe2N
1.0
5.205 0.000 0.000
0.000 5.205 0.000
0.000 0.000 3.396
Ni N Te Cr
1 1 2 1
direct
0.000 0.000 0.000
0.000 0.000 0.500
0.000 0.500 0.000
0.500 0.000 0.000
0.500 0.500 0.500
```

Properties
The calculation puts the volume at 18.40 A^3/atom. For the uncorrected formation energy, the calculation gives 858 meV/atom. Its space-group type is P4/mmm.


No. 7
Material: K2Nb2Ag
Method: DFT, PBE
State: optimized geometry

```
K2Nb2Ag
1.0
-4.602 -7.223 -6.456
-3.687 -5.304 8.562
-2.538 1.670 -0.059
Nb K Ag
4 4 2
direct
0.074 0.574 0.500
0.574 0.926 0.500
0.926 0.426 0.500
0.426 0.074 0.500
0.288 0.788 0.000
0.788 0.712 0.000
0.712 0.212 0.000
0.212 0.288 0.000
0.000 0.000 0.000
0.500 0.500 0.000
```

Properties
The calculation puts the volume at 34.96 A^3/atom. The calculation puts the calculated formation energy at 6.24 eV/f.u. Its space-group type is P4/mbm.


No. 8
Material: BaZrBi2C
Method: DFT, PBE
State: optimized geometry

```
BaZrBi2C
1.0
-5.097 0.667 2.127
2.442 -1.136 6.207
0.969 5.443 0.615
C Bi Zr Ba
1 2 1 1
direct
0.500 0.500 0.500
0.000 0.000 0.500
0.500 0.000 0.000
0.000 0.000 0.000
0.000 0.500 0.000
```

Properties
The calculation puts the volume at 41.87 A^3/atom. The calculation puts the calculated formation energy at 6.58 eV/f.u. Its space-group type is P4/mmm.


No. 9
Material: LiSc2P
Method: DFT, PBE
State: optimized geometry

```
LiSc2P
1.0
-0.337 2.389 -2.966
1.261 -2.665 -2.290
-4.093 -2.926 -1.892
Li P Sc
1 1 2
direct
0.000 0.693 0.489
0.500 0.552 0.772
0.000 0.983 0.910
0.500 0.273 0.330
```

Properties
The calculation puts the volume at 17.99 A^3/atom. The calculation puts the calculated formation energy at -2.74 eV/f.u. Its space-group type is Amm2.


No. 10
Material: LaOs2Ru
Method: DFT, PBE
State: optimized geometry

```
LaOs2Ru
1.0
-2.952 -0.066 4.253
-1.774 -2.734 4.023
3.338 1.153 3.716
La Os Ru
1 2 1
direct
0.250 0.250 0.250
0.022 0.022 0.940
0.478 0.478 0.560
0.750 0.750 0.750
```

Properties
The calculation puts the volume at 18.12 A^3/atom. The calculation puts the calculated formation energy at 1.71 eV/f.u. Its space-group type is C2/m.


No. 11
Material: Y3Mn5Te12
Method: DFT, PBE
State: optimized geometry

```
Y3Mn5Te12
1.0
14.700 0.000 0.000
-4.900 13.860 0.000
-4.900 -6.930 12.003
Y Mn Te
12 20 48
direct
0.750 0.375 0.125
0.875 0.750 0.125
0.375 0.750 0.625
0.250 0.125 0.375
0.875 0.125 0.250
0.375 0.625 0.250
0.625 0.375 0.750
0.125 0.875 0.750
0.750 0.875 0.625
0.625 0.250 0.375
0.125 0.250 0.875
0.250 0.625 0.875
0.125 0.375 0.250
0.000 0.500 0.000
0.000 0.000 0.000
0.375 0.250 0.125
0.500 0.000 0.500
0.500 0.500 0.000
0.125 0.750 0.375
0.750 0.125 0.875
0.750 0.625 0.375
0.375 0.125 0.750
0.625 0.875 0.250
0.500 0.500 0.500
0.500 0.000 0.000
0.000 0.000 0.500
0.250 0.375 0.625
0.250 0.875 0.125
0.000 0.500 0.500
0.875 0.250 0.625
0.625 0.750 0.875
0.875 0.625 0.750
0.710 0.123 0.036
0.325 0.536 0.412
0.964 0.377 0.290
0.536 0.210 0.123
0.587 0.710 0.675
0.964 0.588 0.175
0.325 0.790 0.413
0.088 0.913 0.123
0.588 0.964 0.675
0.710 0.587 0.175
0.790 0.464 0.377
0.825 0.912 0.036
0.123 0.710 0.536
0.377 0.412 0.087
0.087 0.912 0.377
0.413 0.123 0.588
0.087 0.175 0.210
0.464 0.675 0.088
0.825 0.913 0.290
0.123 0.413 0.088
0.377 0.964 0.790
0.588 0.623 0.413
0.912 0.825 0.536
0.790 0.325 0.913
0.412 0.377 0.587
0.088 0.175 0.464
0.210 0.675 0.087
0.175 0.087 0.710
0.623 0.036 0.210
0.877 0.587 0.912
0.536 0.325 0.912
0.587 0.877 0.412
0.913 0.825 0.790
0.913 0.088 0.623
0.877 0.290 0.464
0.175 0.088 0.964
0.623 0.588 0.913
0.412 0.036 0.325
0.290 0.413 0.825
0.210 0.536 0.623
0.912 0.087 0.877
0.675 0.210 0.587
0.464 0.790 0.877
0.036 0.412 0.825
0.413 0.290 0.325
0.036 0.623 0.710
0.675 0.464 0.588
0.290 0.877 0.964
```

Properties
The calculation puts the volume at 30.57 A^3/atom. For the uncorrected formation energy, the calculation gives -535 meV/atom. Its space-group type is Ia-3d.


No. 12
Material: Cs6NaS
Method: DFT, PBE
State: optimized geometry

```
Cs6NaS
1.0
6.313 7.316 -0.017
-6.313 7.316 -0.017
0.000 0.289 14.885
Cs Na S
12 2 2
direct
0.723 0.357 0.577
0.277 0.643 0.423
0.643 0.277 0.923
0.357 0.723 0.077
0.100 0.534 0.715
0.900 0.466 0.285
0.466 0.900 0.785
0.534 0.100 0.215
0.819 0.805 0.002
0.181 0.195 0.998
0.195 0.181 0.498
0.805 0.819 0.502
0.984 0.016 0.750
0.016 0.984 0.250
0.000 0.500 0.500
0.500 0.000 0.000
```

Properties
The calculation puts the volume at 85.93 A^3/atom. For the uncorrected formation energy, the calculation gives -364 meV/atom. Its space-group type is C2/c.


No. 13
Material: Pm2Cu15Hg2
Method: DFT, PBE
State: optimized geometry

```
Pm2Cu15Hg2
1.0
6.648 -0.049 -0.044
0.814 6.598 -0.044
0.814 0.714 6.560
Pm Cu Hg
2 15 2
direct
0.352 0.352 0.352
0.648 0.648 0.648
0.500 0.000 0.000
0.000 0.000 0.500
0.000 0.500 0.000
0.000 0.694 0.306
0.694 0.306 0.000
0.306 0.000 0.694
0.306 0.694 0.000
0.694 0.000 0.306
0.000 0.306 0.694
0.163 0.651 0.651
0.651 0.651 0.163
0.651 0.163 0.651
0.837 0.349 0.349
0.349 0.349 0.837
0.349 0.837 0.349
0.109 0.109 0.109
0.891 0.891 0.891
```

Properties
The calculation puts the volume at 15.18 A^3/atom. The calculation puts the calculated formation energy at -1.36 eV/f.u. Its space-group type is R-3m.


No. 14
Material: RbGaHg2Bi
Method: DFT, PBE
State: optimized geometry

```
RbGaHg2Bi
1.0
-3.344 4.340 1.477
0.596 -1.401 5.466
4.494 3.339 0.366
Ga Bi Rb Hg
1 1 1 2
direct
0.000 0.000 0.000
0.000 0.000 0.500
0.500 0.500 0.500
0.000 0.500 0.000
0.500 0.000 0.000
```

Properties
The calculation puts the volume at 36.13 A^3/atom. The calculation puts the calculated formation energy at -0.31 eV/f.u. Its space-group type is P4/mmm.


No. 15
Material: YCd2PO
Method: DFT, PBE
State: optimized geometry

```
YCd2PO
1.0
-2.239 -2.403 2.689
5.372 -3.084 1.717
0.648 2.845 3.083
Y P O Cd
1 1 1 2
direct
0.500 0.500 0.500
0.000 0.500 0.000
0.000 0.000 0.000
0.000 0.000 0.500
0.500 0.000 0.000
```

Properties
The calculation puts the volume at 23.17 A^3/atom. For the uncorrected formation energy, the calculation gives -292 meV/atom. Its space-group type is P4/mmm.


No. 16
Material: Nd6Sm3Cd
Method: DFT, PBE
State: optimized geometry

```
Nd6Sm3Cd
1.0
5.184 0.000 0.000
0.000 11.198 -0.351
0.000 -0.074 11.523
Nd Sm Cd
12 6 2
direct
0.250 0.450 0.101
0.750 0.550 0.899
0.250 0.154 0.186
0.750 0.846 0.814
0.250 0.655 0.703
0.750 0.345 0.297
0.250 0.233 0.492
0.750 0.767 0.508
0.250 0.865 0.318
0.750 0.135 0.682
0.250 0.045 0.891
0.750 0.955 0.109
0.250 0.551 0.403
0.750 0.449 0.597
0.250 0.346 0.791
0.750 0.654 0.209
0.250 0.754 0.011
0.750 0.246 0.989
0.250 0.945 0.609
0.750 0.055 0.391
```

Properties
The calculation puts the volume at 33.44 A^3/atom. The calculation puts the calculated formation energy at -0.22 eV/f.u. Its space-group type is P2_1/m.


No. 17
Material: ZrAlPPd2
Method: DFT, PBE
State: optimized geometry

```
ZrAlPPd2
1.0
4.862 0.000 0.000
0.000 5.266 0.000
0.000 0.000 4.862
P Zr Pd Al
1 1 2 1
direct
0.500 0.500 0.500
0.000 0.000 0.000
0.000 0.000 0.500
0.500 0.000 0.000
0.000 0.500 0.000
```

Properties
The calculation puts the volume at 24.89 A^3/atom. The calculation puts the calculated formation energy at 5.50 eV/f.u. Its space-group type is P4/mmm.


No. 18
Material: CsH4Br
Method: DFT, PBE
State: optimized geometry

```
CsH4Br
1.0
5.470 0.000 0.000
2.735 4.665 0.051
2.735 1.413 4.446
Cs H Br
1 4 1
direct
0.000 0.000 0.000
0.292 0.277 0.139
0.292 0.139 0.277
0.708 0.723 0.861
0.708 0.861 0.723
0.500 0.500 0.500
```

Properties
The calculation puts the volume at 18.84 A^3/atom. Its space-group type is Immm. The value obtained for the total energy is -19.4 eV per cell.


No. 19
Material: CsCd3S3
Method: DFT, PBE
State: optimized geometry

```
CsCd3S3
1.0
-6.061 3.303 3.547
-6.226 2.119 -4.121
-7.586 -5.968 1.084
Cs Cd S
2 6 6
direct
0.333 0.333 0.001
0.667 0.667 0.999
0.443 0.799 0.631
0.799 0.127 0.631
0.127 0.443 0.631
0.873 0.557 0.369
0.201 0.873 0.369
0.557 0.201 0.369
0.239 0.555 0.306
0.901 0.239 0.306
0.555 0.901 0.306
0.445 0.099 0.694
0.099 0.761 0.694
0.761 0.445 0.694
```

Properties
The calculation puts the volume at 32.11 A^3/atom. For the uncorrected formation energy, the calculation gives -580 meV/atom. Its space-group type is R-3.


No. 20
Material: MnAu4
Method: DFT, PBE
State: optimized geometry

```
MnAu4
1.0
-7.340 6.566 2.523
-1.320 0.208 -2.643
-2.048 -1.955 0.868
Au Mn
4 1
direct
0.982 0.009 0.009
0.195 0.402 0.402
0.405 0.798 0.798
0.618 0.191 0.191
0.800 0.600 0.600
```

Properties
The calculation puts the volume at 17.45 A^3/atom. The calculation puts the calculated formation energy at -0.13 eV/f.u. Its space-group type is I4/mmm.